Record 1
First-principles (PBE) data for an optimized crystal structure of Ca12MgCd6, as listed in the Alexandria database.

a = 9.3636 Å, b = 9.3636 Å, c = 9.3636 Å
α = 110.79°, β = 110.79°, γ = 110.79°
Closest atoms and distances in Å follow each position.
Atoms (fractional coordinates):
Ca1 0.7999 0.6569 0.5220  4 Cd 3.32-3.72, 6 Ca 3.42-3.71, 1 Mg 3.67
Ca2 0.5220 0.7999 0.6569  4 Cd 3.32-3.72, 6 Ca 3.42-3.71, 1 Mg 3.67
Ca3 0.6569 0.5220 0.7999  4 Cd 3.32-3.72, 6 Ca 3.42-3.71, 1 Mg 3.67
Ca4 0.2001 0.3431 0.4780  4 Cd 3.32-3.72, 6 Ca 3.42-3.71, 1 Mg 3.67
Ca5 0.4780 0.2001 0.3431  4 Cd 3.32-3.72, 6 Ca 3.42-3.71, 1 Mg 3.67
Ca6 0.3431 0.4780 0.2001  4 Cd 3.32-3.72, 6 Ca 3.42-3.71, 1 Mg 3.67
Ca7 0.8782 0.8257 0.2598  5 Cd 3.31-3.57, 5 Ca 3.42-3.66, 1 Mg 3.65
Ca8 0.1743 0.7402 0.1218  5 Cd 3.31-3.57, 5 Ca 3.42-3.66, 1 Mg 3.65
Ca9 0.7402 0.1218 0.1743  5 Cd 3.31-3.57, 5 Ca 3.42-3.66, 1 Mg 3.65
Ca10 0.1218 0.1743 0.7402  5 Cd 3.31-3.57, 5 Ca 3.42-3.66, 1 Mg 3.65
Ca11 0.8257 0.2598 0.8782  5 Cd 3.31-3.57, 5 Ca 3.42-3.66, 1 Mg 3.65
Ca12 0.2598 0.8782 0.8257  5 Cd 3.31-3.57, 5 Ca 3.42-3.66, 1 Mg 3.65
Mg1 0.0000 0.0000 0.0000  12 Ca 3.65-3.67
Cd1 0.6523 0.9490 0.4239  8 Ca 3.31-3.57, 2 Cd 3.51
Cd2 0.5761 0.3477 0.0510  8 Ca 3.31-3.57, 2 Cd 3.51
Cd3 0.0510 0.5761 0.3477  8 Ca 3.31-3.57, 2 Cd 3.51
Cd4 0.3477 0.0510 0.5761  8 Ca 3.31-3.57, 2 Cd 3.51
Cd5 0.4239 0.6523 0.9490  8 Ca 3.31-3.57, 2 Cd 3.51
Cd6 0.9490 0.4239 0.6523  8 Ca 3.31-3.57, 2 Cd 3.51

Calculated values
DFT total energy	-34.0	eV per formula unit
DOS(E_F)	13.0	states/eV per cell
space group	R-3 (148)

Record 2
First-principles (PBE) data for an optimized crystal structure of CaMg11Cd, as listed in the Alexandria database.

a = 5.9358 Å, b = 7.8316 Å, c = 7.8599 Å
α = 82.00°, β = 67.82°, γ = 68.37°
Closest atoms and distances in Å follow each position.
Atoms (fractional coordinates):
Ca1 0.0000 0.0000 0.0000  18 Mg 3.63-3.93, 2 Cd 3.95
Mg1 0.2874 0.2170 0.2138  1 Cd 2.96, 8 Mg 3.00-3.30
Mg2 0.7126 0.7830 0.7862  1 Cd 2.96, 8 Mg 3.00-3.30
Mg3 0.4988 0.7830 0.2138  1 Cd 2.96, 8 Mg 3.00-3.30
Mg4 0.5012 0.2170 0.7862  1 Cd 2.96, 8 Mg 3.00-3.30
Mg5 0.3504 0.6459 0.6490  8 Mg 3.04-3.32, 1 Cd 3.15
Mg6 0.6496 0.3541 0.3510  8 Mg 3.04-3.32, 1 Cd 3.15
Mg7 0.0006 0.3541 0.6490  8 Mg 3.04-3.32, 1 Cd 3.15
Mg8 0.9994 0.6459 0.3510  8 Mg 3.04-3.32, 1 Cd 3.15
Mg9 0.0000 0.5000 0.0000  2 Cd 2.97, 8 Mg 3.00-3.13
Mg10 0.5000 0.0000 0.5000  10 Mg 2.97-3.17
Mg11 0.0000 0.0000 0.5000  10 Mg 2.97-3.17
Cd1 0.5000 0.5000 0.0000  10 Mg 2.96-3.15

Calculated values
DFT total energy	-21.1	eV per formula unit
DOS(E_F)	5.0	states/eV per cell
space group	C2/m (12)

Record 3
First-principles (PBE) data for an optimized crystal structure of Ca2MgCd3, as listed in the Alexandria database.

a = 6.1458 Å, b = 6.1458 Å, c = 9.5342 Å
α = 90.00°, β = 90.00°, γ = 120.00°
Closest atoms and distances in Å follow each position.
Atoms (fractional coordinates):
Ca1 0.6667 0.3333 0.4386  9 Cd 3.44-3.56, 3 Mg 3.60, 4 Ca 3.60-3.74
Ca2 0.3333 0.6667 0.5614  9 Cd 3.44-3.56, 3 Mg 3.60, 4 Ca 3.60-3.74
Ca3 0.3333 0.6667 0.9386  9 Cd 3.44-3.56, 3 Mg 3.60, 4 Ca 3.60-3.74
Ca4 0.6667 0.3333 0.0614  9 Cd 3.44-3.56, 3 Mg 3.60, 4 Ca 3.60-3.74
Mg1 0.0000 0.0000 0.5000  6 Cd 3.00
Mg2 0.0000 0.0000 0.0000  6 Cd 3.00
Cd1 0.1706 0.3412 0.2500  2 Mg 3.00, 4 Cd 3.00-3.15
Cd2 0.3412 0.1706 0.7500  2 Mg 3.00, 4 Cd 3.00-3.15
Cd3 0.8294 0.6588 0.7500  2 Mg 3.00, 4 Cd 3.00-3.15
Cd4 0.1706 0.8294 0.2500  2 Mg 3.00, 4 Cd 3.00-3.15
Cd5 0.8294 0.1706 0.7500  2 Mg 3.00, 4 Cd 3.00-3.15
Cd6 0.6588 0.8294 0.2500  2 Mg 3.00, 4 Cd 3.00-3.15

Calculated values
DFT total energy	-10.1	eV per formula unit
DOS(E_F)	7.9	states/eV per cell
space group	P6_3/mmc (194)

Record 4
First-principles (PBE) data for an optimized crystal structure of Ca2MgCd, as listed in the Alexandria database.

a = 6.3811 Å, b = 6.3811 Å, c = 5.8310 Å
α = 71.44°, β = 71.44°, γ = 32.24°
Closest atoms and distances in Å follow each position.
Atoms (fractional coordinates):
Ca1 0.9807 0.9807 0.0476  4 Cd 3.40-3.49, 3 Mg 3.46-3.49, 4 Ca 3.54-3.76
Ca2 0.7772 0.7772 0.6913  3 Cd 3.33-3.57, 4 Mg 3.46-3.48, 2 Ca 3.54
Mg1 0.2212 0.2212 0.2322  2 Cd 3.06
Cd1 0.5209 0.5209 0.5289  2 Mg 3.06, 4 Ca 3.33-3.40

Calculated values
DFT total energy	-7.2	eV per formula unit
DOS(E_F)	2.0	states/eV per cell
space group	Cm (8)

Record 5
First-principles (PBE) data for an optimized crystal structure of Ca4Mg3Cd, as listed in the Alexandria database.

a = 3.8711 Å, b = 3.8711 Å, c = 16.1986 Å
α = 90.00°, β = 90.00°, γ = 90.00°
Closest atoms and distances in Å follow each position.
Atoms (fractional coordinates):
Ca1 0.0000 0.0000 0.8835  4 Cd 3.32, 4 Mg 3.44
Ca2 0.0000 0.0000 0.1165  4 Cd 3.32, 4 Mg 3.44
Ca3 0.0000 0.0000 0.3720  8 Mg 3.42-3.43
Ca4 0.0000 0.0000 0.6280  8 Mg 3.42-3.43
Mg1 0.5000 0.5000 0.2450  8 Ca 3.42-3.44
Mg2 0.5000 0.5000 0.5000  8 Ca 3.43
Mg3 0.5000 0.5000 0.7550  8 Ca 3.42-3.44
Cd1 0.5000 0.5000 0.0000  8 Ca 3.32

Calculated values
DFT total energy	-14.9	eV per formula unit
DOS(E_F)	8.6	states/eV per cell
space group	P4/mmm (123)

Record 6
First-principles (PBE) data for an optimized crystal structure of Ca2MgCd3, as listed in the Alexandria database.

a = 6.2317 Å, b = 6.2317 Å, c = 9.4698 Å
α = 102.96°, β = 102.96°, γ = 108.55°
Closest atoms and distances in Å follow each position.
Atoms (fractional coordinates):
Ca1 0.2500 0.7500 0.5000  8 Cd 3.43, 4 Mg 3.44, 2 Ca 3.64
Ca2 0.7526 0.7526 0.0000  10 Cd 3.44-3.45, 2 Mg 3.45, 2 Ca 3.60-3.68
Ca3 0.7500 0.2500 0.5000  8 Cd 3.43, 4 Mg 3.44, 2 Ca 3.64
Ca4 0.2474 0.2474 0.0000  10 Cd 3.44-3.45, 2 Mg 3.45, 2 Ca 3.60-3.68
Mg1 0.6669 0.6669 0.3337  3 Cd 2.90-2.91
Mg2 0.3331 0.3331 0.6663  3 Cd 2.90-2.91
Cd1 0.3345 0.8327 0.1672  1 Mg 2.91, 2 Cd 2.92-2.93
Cd2 0.1673 0.6655 0.8328  1 Mg 2.91, 2 Cd 2.92-2.93
Cd3 0.6655 0.1673 0.8328  1 Mg 2.91, 2 Cd 2.92-2.93
Cd4 0.8327 0.3345 0.1672  1 Mg 2.91, 2 Cd 2.92-2.93
Cd5 0.1675 0.1675 0.3351  1 Mg 2.90, 2 Cd 2.93
Cd6 0.8325 0.8325 0.6649  1 Mg 2.90, 2 Cd 2.93

Calculated values
DFT total energy	-10.0	eV per formula unit
DOS(E_F)	7.8	states/eV per cell
space group	Fmmm (69)

Record 7
First-principles (PBE) data for an optimized crystal structure of Ca2MgCd, as listed in the Alexandria database.

a = 5.5037 Å, b = 5.5037 Å, c = 5.5037 Å
α = 60.00°, β = 60.00°, γ = 60.00°
Closest atoms and distances in Å follow each position.
Atoms (fractional coordinates):
Ca1 0.2500 0.2500 0.2500  4 Cd 3.37, 4 Mg 3.37
Ca2 0.7500 0.7500 0.7500  4 Cd 3.37, 4 Mg 3.37
Mg1 0.0000 0.0000 0.0000  8 Ca 3.37
Cd1 0.5000 0.5000 0.5000  8 Ca 3.37

Calculated values
DFT total energy	-7.4	eV per formula unit
DOS(E_F)	2.9	states/eV per cell
space group	Fm-3m (225)

Record 8
First-principles (PBE) data for an optimized crystal structure of Ca2MgCd8, as listed in the Alexandria database.

a = 5.4921 Å, b = 6.4204 Å, c = 8.8987 Å
α = 109.16°, β = 105.69°, γ = 96.07°
Closest atoms and distances in Å follow each position.
Atoms (fractional coordinates):
Ca1 0.6873 0.6873 0.3746  12 Cd 3.21-3.45
Ca2 0.3127 0.3127 0.6254  12 Cd 3.21-3.45
Mg1 0.5000 0.0000 0.0000  4 Cd 3.12-3.14
Cd1 0.1120 0.3573 0.2595  5 Cd 2.95-3.27, 1 Ca 3.26
Cd2 0.8525 0.0978 0.7405  5 Cd 2.95-3.27, 1 Ca 3.26
Cd3 0.7417 0.4649 0.0000  4 Cd 2.74-2.96
Cd4 0.6962 0.1962 0.3923  4 Cd 3.07-3.27, 1 Mg 3.12, 4 Ca 3.21-3.31
Cd5 0.3038 0.8038 0.6077  4 Cd 3.07-3.27, 1 Mg 3.12, 4 Ca 3.21-3.31
Cd6 0.2583 0.5351 0.0000  4 Cd 2.74-2.96
Cd7 0.1475 0.9022 0.2595  5 Cd 2.95-3.27, 1 Ca 3.26
Cd8 0.8880 0.6427 0.7405  5 Cd 2.95-3.27, 1 Ca 3.26

Calculated values
DFT total energy	-14.5	eV per formula unit
DOS(E_F)	4.4	states/eV per cell
space group	C2/m (12)